--- a ---
Compound: TmZr
Source: OQMD via LeMat-Bulk
Functional: PBE-GGA
Structure: optimized geometry

Geometry as POSCAR:
```
TmZr
1.0
-4.187 -4.058 -0.466
3.804 -5.298 11.958
-3.388 3.209 2.499
Tm Zr
8 8
Cartesian
-2.238 -6.673 5.533
0.281 -5.379 7.286
1.201 -6.662 10.180
-0.346 -9.308 11.482
-3.127 0.204 1.104
-4.674 -2.443 2.406
-3.753 -3.725 5.300
-1.234 -2.432 7.054
-1.536 -2.731 1.425
0.860 -1.413 2.979
-0.686 -3.914 4.095
2.823 -4.003 8.965
-2.109 -1.044 4.087
-2.787 -5.190 8.491
-0.145 -3.633 10.073
-1.937 -6.373 11.161
```

Results
Calculated volume, Å³ per atom: 26.36

--- b ---
Compound: TmZr
Source: OQMD via LeMat-Bulk
Functional: PBE-GGA
Structure: optimized geometry

Geometry as POSCAR:
```
TmZr
1.0
-2.589 -11.263 1.926
6.543 -1.560 -0.324
0.449 0.794 5.246
Tm Zr
8 8
Cartesian
-0.286 -8.815 1.358
3.232 -0.952 -0.133
1.992 -6.346 0.789
2.958 -9.588 1.197
-0.222 -1.546 2.955
-1.462 -6.940 3.878
-0.533 -10.341 4.312
2.766 -11.127 4.149
-0.024 -0.103 0.018
-1.249 -5.433 0.929
0.985 -3.242 0.406
4.248 -4.020 0.244
0.785 -4.650 3.339
3.019 -2.459 2.816
1.794 -7.789 3.727
4.066 -5.432 3.176
```

Results
Calculated volume, Å³ per atom: 26.26

Which structure is most stable? a, by 10 meV/atom over the runner-up.

--- a ---
Compound: TmZr
Source: OQMD via LeMat-Bulk
Functional: PBE-GGA
Structure: optimized geometry

Geometry as POSCAR:
```
TmZr
1.0
8.772 -1.690 0.000
0.000 6.760 0.000
0.000 0.000 5.310
Tm Zr
6 6
Cartesian
2.993 1.626 0.000
8.687 1.692 0.000
2.977 5.132 0.000
7.744 -0.061 2.655
2.034 3.379 2.655
7.729 3.444 2.655
0.015 0.015 0.000
5.872 -0.054 0.000
5.801 3.432 0.000
1.934 -0.014 2.655
4.920 1.639 2.655
4.850 5.124 2.655
```

Results
Calculated volume, Å³ per atom: 26.24

--- b ---
Compound: TmZr
Source: OQMD via LeMat-Bulk
Functional: PBE-GGA
Structure: optimized geometry

Geometry as POSCAR:
```
TmZr
1.0
-2.644 -1.110 5.082
-2.896 -8.505 -0.015
4.631 -1.581 2.064
Tm Zr
5 5
Cartesian
-1.660 -2.100 2.116
-3.321 -4.365 4.108
-3.866 -7.454 2.965
1.609 -2.427 1.363
-0.079 -4.829 3.310
-2.267 -5.431 0.927
-5.495 -9.490 5.061
-1.773 -6.974 5.469
-0.691 -7.883 2.345
-2.362 -9.948 4.513
```

Results
Calculated volume, Å³ per atom: 26.33

--- c ---
Compound: TmZr
Source: OQMD via LeMat-Bulk
Functional: PBE-GGA
Structure: optimized geometry

Geometry as POSCAR:
```
TmZr
1.0
-1.230 0.475 5.670
-8.047 -6.193 -1.228
3.074 -4.196 1.018
Tm Zr
6 6
Cartesian
-2.049 -0.879 2.561
-9.162 -5.643 4.404
-0.904 -2.772 5.098
-3.509 -4.806 4.582
-4.225 -6.068 1.544
-6.879 -8.082 1.258
-2.809 -2.140 -0.339
-4.607 -2.846 2.180
-6.608 -3.675 4.803
-7.232 -4.833 1.915
-1.609 -4.052 1.952
-6.129 -6.820 4.191
```

Results
Calculated volume, Å³ per atom: 26.30

--- d ---
Compound: TmZr
Source: OQMD via LeMat-Bulk
Functional: PBE-GGA
Structure: optimized geometry

Geometry as POSCAR:
```
TmZr
1.0
-3.478 -2.144 2.036
-3.974 -0.493 -2.191
-1.307 -4.124 -1.458
Tm Zr
1 1
Cartesian
0.000 0.000 0.000
-2.190 -1.690 -0.403
```

Results
Calculated volume, Å³ per atom: 33.63

Which structure is most stable? b, by 5 meV/atom over the runner-up.

--- a ---
Compound: TmZr
Source: OQMD via LeMat-Bulk
Functional: PBE-GGA
Structure: optimized geometry

Geometry as POSCAR:
```
TmZr
1.0
-5.674 -1.398 0.457
3.373 -11.920 5.424
-0.143 2.158 4.832
Tm Zr
8 8
Cartesian
0.722 -2.853 1.296
-1.526 -5.158 2.258
1.648 -6.126 2.785
0.191 -11.110 4.968
-1.841 0.491 2.626
-3.610 -4.575 4.836
0.609 -8.165 6.564
-1.890 -10.526 7.545
-5.549 -1.387 0.456
-2.488 -2.260 0.936
-0.829 -8.120 3.602
-3.030 -10.290 4.506
-4.311 -1.502 3.443
-1.248 -2.375 3.924
-0.392 -5.399 5.300
-2.594 -7.570 6.204
```

Results
Calculated volume, Å³ per atom: 26.23

--- b ---
Compound: TmZr
Source: OQMD via LeMat-Bulk
Functional: PBE-GGA
Structure: optimized geometry

Geometry as POSCAR:
```
TmZr
1.0
5.895 -3.403 0.000
0.000 6.807 0.000
0.000 0.000 5.259
Tm Zr
4 4
Cartesian
0.000 0.000 0.000
2.006 0.000 2.630
4.892 -1.666 2.630
4.892 1.666 2.630
0.141 3.403 0.000
2.877 1.824 0.000
2.877 4.983 0.000
1.965 3.403 2.630
```

Results
Calculated volume, Å³ per atom: 26.38

--- c ---
Compound: TmZr
Source: OQMD via LeMat-Bulk
Functional: PBE-GGA
Structure: optimized geometry

Geometry as POSCAR:
```
TmZr
1.0
5.778 0.000 0.000
0.000 6.902 0.000
0.000 0.000 5.302
Tm Zr
4 4
Cartesian
5.705 3.342 0.000
2.816 5.285 0.000
2.000 3.342 2.651
4.889 5.285 2.651
0.064 0.126 0.000
2.953 1.599 0.000
1.862 0.126 2.651
4.751 1.599 2.651
```

Results
Calculated volume, Å³ per atom: 26.43

Which structure is most stable? c, by 13 meV/atom over the runner-up.

--- a ---
Compound: TmZr
Source: OQMD via LeMat-Bulk
Functional: PBE-GGA
Structure: optimized geometry

Geometry as POSCAR:
```
TmZr
1.0
5.852 0.000 0.000
0.000 6.738 0.000
0.000 0.000 5.315
Tm Zr
4 4
Cartesian
0.034 3.368 0.000
2.960 5.055 0.000
4.842 1.685 2.657
1.916 6.737 2.657
2.871 1.693 0.000
5.797 6.730 0.000
2.006 3.361 2.657
4.932 5.062 2.657
```

Results
Calculated volume, Å³ per atom: 26.20

--- b ---
Compound: TmZr
Source: OQMD via LeMat-Bulk
Functional: PBE-GGA
Structure: optimized geometry

Geometry as POSCAR:
```
TmZr
1.0
-3.578 3.752 -2.618
-0.106 -5.916 -8.332
-4.179 -2.640 1.927
Tm Zr
6 6
Cartesian
-1.776 0.887 -2.636
-3.618 -0.251 -8.191
-5.132 0.911 -2.579
-3.304 -2.073 -2.701
-5.110 -1.148 -5.350
-3.398 -4.009 -5.558
-3.607 1.753 -5.420
-1.835 -1.068 -5.442
-1.915 -3.066 -8.351
-0.141 -5.826 -8.287
-5.129 -3.232 -8.246
-3.355 -5.942 -8.111
```

Results
Calculated volume, Å³ per atom: 26.24

Which structure is most stable? b, by 6 meV/atom over the runner-up.

--- a ---
Compound: TmZr
Source: OQMD via LeMat-Bulk
Functional: PBE-GGA
Structure: optimized geometry

Geometry as POSCAR:
```
TmZr
1.0
-10.357 4.688 3.011
0.476 -0.986 3.173
2.412 4.636 1.079
Tm Zr
4 4
Cartesian
-5.290 2.394 1.538
-2.223 0.621 2.302
-5.827 5.501 2.584
-2.759 3.727 3.348
-10.290 4.657 2.992
-7.709 3.103 3.897
-0.342 3.019 0.990
-8.119 6.153 4.906
```

Results
Calculated volume, Å³ per atom: 26.33

--- b ---
Compound: TmZr
Source: OQMD via LeMat-Bulk
Functional: PBE-GGA
Structure: optimized geometry

Geometry as POSCAR:
```
TmZr
1.0
5.934 0.000 0.000
0.000 3.357 0.000
0.000 0.000 5.271
Tm Zr
2 2
Cartesian
3.045 1.679 0.000
1.900 0.000 2.636
5.879 0.000 0.000
5.000 1.679 2.636
```

Results
Calculated volume, Å³ per atom: 26.25

Which structure is most stable? a, by 14 meV/atom over the runner-up.

--- a ---
Compound: U
Source: OQMD via LeMat-Bulk
Functional: PBE-GGA
Structure: optimized geometry

Geometry as POSCAR:
```
U
1.0
5.311 5.311 -5.311
5.316 -5.314 5.313
-5.313 -5.314 -5.316
U
29
Cartesian
-0.201 -3.836 -6.792
1.996 1.997 -1.996
0.000 0.000 0.000
1.999 -1.999 1.998
7.629 -0.946 0.946
7.629 0.942 -0.942
5.113 -1.481 1.479
2.997 -0.947 -0.943
4.368 2.316 -4.368
4.368 -4.369 2.315
5.515 -1.480 -1.477
1.480 -5.113 1.478
6.792 -3.836 0.201
0.945 -2.999 -0.945
0.943 -0.947 -2.997
-1.998 -1.999 -1.999
3.836 -3.837 -0.200
3.833 -0.205 -3.833
-1.478 -5.113 -1.480
-1.479 -1.481 -5.113
3.316 -3.318 -3.316
6.258 -2.319 -4.365
0.942 0.942 -7.629
1.480 -5.514 -1.480
1.477 -1.480 -5.515
0.200 -3.837 -3.836
-0.946 -0.946 -7.629
4.365 -2.319 -6.258
-2.315 -4.369 -4.368
```

Results
Calculated volume, Å³ per atom: 20.69

--- b ---
Compound: U
Source: OQMD via LeMat-Bulk
Functional: PBE-GGA
Structure: optimized geometry

Geometry as POSCAR:
```
U
1.0
-0.114 1.592 3.420
1.403 -3.479 -0.416
4.210 1.780 -0.688
U
3
Cartesian
0.860 -1.259 2.005
1.365 1.123 0.908
3.273 0.029 -0.597
```

Results
Calculated volume, Å³ per atom: 19.01

--- c ---
Compound: U
Source: OQMD via LeMat-Bulk
Functional: PBE-GGA
Structure: optimized geometry

Geometry as POSCAR:
```
U
1.0
-2.983 0.000 0.000
1.491 -2.583 0.000
-1.491 0.861 8.233
U
3
Cartesian
0.000 0.000 0.000
0.000 -1.722 2.751
-2.983 0.000 5.481
```

Results
Calculated volume, Å³ per atom: 21.14

Which structure is most stable? a, by 21 meV/atom over the runner-up.